Here is RbHgAuO2 after structural relaxation from Alexandria via LeMat-Bulk. Energies are from GGA-PBE.

abc: 5.017 6.935 7.329
angles: 118.23 90.00 90.00
Sites, in units of the cell vectors:
Rb 0.260 0.750 0.500
Rb 0.740 0.250 0.500
Hg 0.500 0.750 0.000
Hg 0.500 0.250 0.000
Au 0.000 0.000 0.000
Au 0.000 0.500 0.000
O 0.688 0.897 0.793
O 0.688 0.603 0.207
O 0.312 0.397 0.793
O 0.312 0.103 0.207

## Properties
- space-group type = Cmme (67)
- formation energy (no corrections) (eV per atom) = -0.53



Here is RbCo3Re after structural relaxation from Alexandria via LeMat-Bulk. Energies are from GGA-PBE.

abc: 4.449 4.449 4.449
angles: 90.00 90.00 90.00
Each line ends with the local moment (μB).
Sites, in units of the cell vectors:
Re 0.500 0.500 0.500  2.21
Co 0.000 0.500 0.000  1.32
Co 0.000 0.000 0.500  1.25
Co 0.500 0.000 0.000  1.48
Rb 0.000 0.000 0.000  -0.02

## Properties
- space-group type = Pm-3m (221)
- energy above the lowest structure with this stoichiometry (eV/atom) = 1.633



Looking at total DFT energy (no corrections) for the records above, in order, we have -3.4236 -3.9310 eV/atom.
Looking at total magnetization for the records above, in order, we have 0.00 6.39 μB/cell.